DFT (PBE) results for GaSbTe2I after structural relaxation.

Energy ... -2.18 eV per atom
Energy above the most stable polymorph in this dataset ... 0.584 eV/atom
N(E_F) ... 5.32 states/eV/cell
V ... 41.02 A^3/atom
Calculated density ... 4.644 g cm⁻³
Formation energy without anion corrections ... 0.818 eV per atom

Cell lengths 5.896, 5.896, 5.901 Å; angles 90.00, 90.00, 90.00 degrees
Element x y z (fractional)
Ga (0.000, 0.000, 0.000)
Sb (0.500, 0.500, 0.000)
Te (0.000, 0.500, 0.500)
Te (0.500, 0.000, 0.500)
I (0.500, 0.500, 0.500)